No. 1
A geometry-optimized Ce10Sb3Pb3 structure, computed with GGA-PBE.

```
16
Lattice="9.4069 0.0000 0.0000 -4.7034 8.1466 0.0000 0.0000 0.0000 6.4126" Properties=species:S:1:pos:R:3 pbc="T T T"
Ce -1.2076 2.0917 0.0000
Ce -3.5022 6.0660 3.2063
Ce 1.2012 2.0806 3.2063
Ce 2.4153 0.0000 0.0000
Ce 0.0000 5.4311 1.7195
Ce 0.0000 5.4311 4.6930
Ce 4.7035 2.7155 1.7195
Ce 4.7035 2.7155 4.6930
Ce 3.4958 6.0549 0.0000
Ce 7.0044 0.0000 3.2063
Sb -1.7947 3.1085 3.2063
Sb 3.5894 0.0000 3.2063
Sb 2.9087 5.0381 3.2063
Pb -2.8876 5.0015 0.0000
Pb 1.8158 3.1451 0.0000
Pb 5.7752 0.0000 0.0000
```

crystal system: hexagonal
formation energy without anion corrections: -0.56 eV per atom
space-group type: P-62m (189)

=====

No. 2
A geometry-optimized Ce4Sb5Pb structure, computed with GGA-PBE.

```
10
Lattice="-2.1910 5.5699 6.2200 2.1910 -5.5699 6.2200 2.1910 5.5699 -6.2200" Properties=species:S:1:pos:R:3 pbc="T T T"
Ce 2.1910 2.3176 0.0000
Ce 0.0000 0.0000 3.0522
Ce 0.0000 0.0000 9.3877
Ce 0.0000 3.2524 6.2200
Sb 0.0000 0.0000 0.0000
Sb 2.1910 -2.0001 4.1697
Sb 0.0000 3.5699 2.0503
Sb 2.1910 2.0001 4.1697
Sb 0.0000 7.5700 2.0503
Pb 0.0000 0.0000 6.2200
```

crystal system: orthorhombic
formation energy without anion corrections: -0.75 eV per atom
space-group type: Immm (71)

=====

No. 3
A geometry-optimized Ce4SbPb structure, computed with GGA-PBE.

```
6
Lattice="3.2833 0.0000 0.0000 0.0000 5.1329 0.0000 0.0000 0.0000 9.2640" Properties=species:S:1:pos:R:3 pbc="T T T"
Ce 0.0000 0.0000 1.5563
Ce 0.0000 0.0000 7.7077
Ce 0.0000 2.5664 2.9643
Ce 0.0000 2.5664 6.2996
Sb 1.6416 2.5664 0.0000
Pb 1.6416 0.0000 4.6320
```

crystal system: orthorhombic
formation energy without anion corrections: -0.28 eV per atom
space-group type: Pmmm (47)

=====

No. 4
A geometry-optimized Ce2Sb3Pb structure, computed with GGA-PBE.

```
6
Lattice="-2.2697 3.2008 6.8759 2.2697 -3.2008 6.8759 2.2697 3.2008 -6.8759" Properties=species:S:1:pos:R:3 pbc="T T T"
Ce 0.0000 0.0000 2.2529
Ce 0.0000 0.0000 11.4989
Sb 2.2697 0.0000 0.0000
Sb 2.2697 0.0000 4.4402
Sb 0.0000 3.2008 2.4357
Pb 0.0000 0.0000 6.8759
```

crystal system: orthorhombic
formation energy without anion corrections: -0.66 eV per atom
space-group type: Immm (71)

=====

No. 5
A geometry-optimized Ce4SbPbSe2 structure, computed with GGA-PBE.

```
16
Lattice="-4.3667 4.3729 6.1783 4.3667 -4.3729 6.1783 4.3667 4.3729 -6.1783" Properties=species:S:1:pos:R:3 pbc="T T T"
Ce 2.0873 2.1865 0.0867
Ce 2.2794 -2.1865 6.2650
Ce 0.0000 0.1266 3.0191
Ce 4.3667 0.1266 3.1593
Ce 0.0000 4.2463 3.0191
Ce 4.3667 4.2463 3.1593
Ce 2.0873 6.5594 -0.0867
Ce 2.2794 2.1865 6.0917
Sb 4.3667 0.0000 0.0000
Sb 0.0000 0.0000 6.1783
Pb 2.1834 2.1865 -3.0892
Pb 2.1834 -2.1865 3.0892
Se 0.0000 0.0000 0.0000
Se -2.1834 2.1865 3.0892
Se 0.0000 4.3729 0.0000
Se 2.1834 2.1865 3.0892
```

crystal system: orthorhombic
formation energy without anion corrections: -1.24 eV per atom
space-group type: Imma (74)

=====

No. 6
A geometry-optimized Ce4Sb2PbSe structure, computed with GGA-PBE.

```
8
Lattice="7.6925 0.0000 0.0000 0.0000 4.4624 0.0000 -2.5820 0.0000 7.2637" Properties=species:S:1:pos:R:3 pbc="T T T"
Ce 1.2224 0.0000 1.7624
Ce -0.0713 2.2312 5.4626
Ce 5.1819 2.2312 1.8011
Ce 3.8881 0.0000 5.5012
Sb -1.2910 0.0000 3.6318
Sb 2.5553 2.2312 3.6318
Pb 3.8463 0.0000 0.0000
Se 0.0000 2.2312 0.0000
```

crystal system: monoclinic
formation energy without anion corrections: -1.04 eV per atom
space-group type: P2/m (10)

=====

No. 7
A geometry-optimized Ce4Sb2TePb structure, computed with GGA-PBE.

```
8
Lattice="7.8020 0.0000 0.0000 0.0000 4.5293 0.0000 -2.6219 0.0000 7.3781" Properties=species:S:1:pos:R:3 pbc="T T T"
Ce 1.2901 0.0000 1.8116
Ce -0.0185 2.2647 5.5620
Ce 5.1986 2.2647 1.8161
Ce 3.8900 0.0000 5.5665
Sb 0.0000 2.2647 0.0000
Sb 3.9010 0.0000 0.0000
Te 2.5900 2.2647 3.6891
Pb -1.3110 0.0000 3.6891
```

crystal system: monoclinic
formation energy without anion corrections: -0.96 eV per atom
space-group type: P2/m (10)

=====

No. 8
A geometry-optimized Ce6Sb2Te3Pb structure, computed with GGA-PBE.

```
12
Lattice="9.8131 -2.2686 0.0000 9.8131 2.2686 0.0000 -1.9520 0.0000 8.7740" Properties=species:S:1:pos:R:3 pbc="T T T"
Ce -0.4668 0.0000 2.1999
Ce 5.7011 0.0000 3.6792
Ce 4.7547 0.0000 8.0151
Ce 12.9194 0.0000 0.7589
Ce 11.9730 0.0000 5.0948
Ce 18.1409 0.0000 6.5741
Sb 2.6234 0.0000 2.9265
Sb 15.0508 0.0000 5.8476
Te 1.6417 0.0000 7.3097
Te 8.8371 0.0000 4.3870
Te 16.0325 0.0000 1.4643
Pb 9.8131 0.0000 0.0000
```

crystal system: monoclinic
formation energy without anion corrections: -1.10 eV per atom
space-group type: C2/m (12)

=====

No. 9
A geometry-optimized Ce6SbTe3Pb2 structure, computed with GGA-PBE.

```
12
Lattice="9.8311 -2.2617 0.0000 9.8311 2.2617 0.0000 -1.9585 0.0000 8.8421" Properties=species:S:1:pos:R:3 pbc="T T T"
Ce 19.1796 0.0000 2.1772
Ce -1.4759 0.0000 6.6650
Ce 5.7355 0.0000 3.6928
Ce 4.7863 0.0000 8.1171
Ce 12.9174 0.0000 0.7250
Ce 11.9682 0.0000 5.1494
Sb 9.8311 0.0000 0.0000
Te 1.6504 0.0000 7.3650
Te 8.8518 0.0000 4.4211
Te 16.0533 0.0000 1.4771
Pb 2.6223 0.0000 2.9390
Pb 15.0814 0.0000 5.9032
```

crystal system: monoclinic
formation energy without anion corrections: -0.98 eV per atom
space-group type: C2/m (12)

=====

No. 10
A geometry-optimized Ce4SbTePb2 structure, computed with GGA-PBE.

```
8
Lattice="7.8216 0.0000 0.0000 0.0000 4.5427 0.0000 -2.6299 0.0000 7.3950" Properties=species:S:1:pos:R:3 pbc="T T T"
Ce 1.2872 0.0000 1.8288
Ce -0.0263 2.2714 5.5617
Ce 5.2180 2.2714 1.8333
Ce 3.9045 0.0000 5.5662
Sb 0.0000 2.2714 0.0000
Te -1.3150 0.0000 3.6975
Pb 3.9108 0.0000 0.0000
Pb 2.5958 2.2714 3.6975
```

crystal system: monoclinic
formation energy without anion corrections: -0.77 eV per atom
space-group type: P2/m (10)

=====

No. 11
A geometry-optimized Ce3ScPb4 structure, computed with GGA-PBE.

```
8
Lattice="-2.0813 3.6170 8.5552 2.0813 -3.6170 8.5552 2.0813 3.6170 -8.5552" Properties=species:S:1:pos:R:3 pbc="T T T"
Ce 0.0000 0.0000 0.0000
Ce 2.0813 0.0000 5.0464
Ce 0.0000 3.6170 3.5088
Sc 0.0000 0.0000 8.5552
Pb 2.0813 1.5707 -2.1488
Pb 2.0813 1.5707 2.1488
Pb 0.0000 2.0463 6.4064
Pb 0.0000 2.0463 10.7040
```

crystal system: orthorhombic
space-group type: Immm (71)
DFT formation energy: -22.6 kJ per mole of atoms

=====

No. 12
A geometry-optimized Ce3ScPb2 structure, computed with GGA-PBE.

```
12
Lattice="6.8312 0.0000 0.0000 0.0000 4.6649 0.0000 -0.0710 0.0000 10.3429" Properties=species:S:1:pos:R:3 pbc="T T T"
Ce 0.7001 1.1662 0.4851
Ce 0.8413 1.1662 7.1828
Ce 2.1746 3.4987 5.9486
Ce 4.5857 1.1662 4.3943
Ce 5.9189 3.4987 3.1601
Ce 6.0602 3.4987 9.8578
Sc 2.5995 3.4987 2.2341
Sc 4.1607 1.1662 8.1088
Pb 1.2632 1.1662 3.8017
Pb 2.4506 3.4987 9.2285
Pb 4.3097 1.1662 1.1144
Pb 5.4971 3.4987 6.5412
```

crystal system: monoclinic
space-group type: P2_1/m (11)
DFT formation energy: -30.0 kJ per mole of atoms

=====

| no. | electronic total energy (eV per cell) |
| --- | --- |
| 1 | -91.78 |
| 2 | -55.57 |
| 3 | -33.28 |
| 4 | -31.90 |
| 5 | -96.90 |
| 6 | -47.49 |
| 7 | -46.50 |
| 8 | -70.24 |
| 9 | -68.35 |
| 10 | -44.57 |
| 11 | -40.84 |
| 12 | -66.83 |